Computed, not measured: a relaxed Nd2Y6Ho3 crystal at the PBE level of DFT.

Results
* ΔE to the lowest computed polymorph: 0.00 kcal/mol of atoms
* density of states at the Fermi level: 1.745 states/eV per atom
* space-group type: C2/m
* formation energy from the elements: 4.3 kcal/mol of atoms
* total moment: 0.00 μB per formula unit

POSCAR file:
```
Nd2Y6Ho3
1.0
-4.583 -2.530 3.211
-2.372 -5.392 -1.761
6.144 -6.390 7.686
Y Nd Ho
6 2 3
Direct
0.083 0.333 0.753
0.917 0.667 0.247
0.251 0.000 0.247
0.749 0.000 0.753
0.584 0.333 0.247
0.416 0.667 0.753
0.167 0.667 0.500
0.833 0.333 0.500
0.665 0.670 0.000
0.335 0.330 0.000
0.000 0.000 0.000
```